(1)
Below is an optimized crystal structure of TiVSeN, with properties calculated at the PBE level.

It has space group Cm (No. 8), with a = 5.5810 Å, b = 3.2123 Å, c = 6.0476 Å, α = 90.00°, β = 107.88° and γ = 90.00°. The asymmetric unit holds Ti at (0.0000, 0.0000, 0.0000), V at (0.4440, 0.0000, 0.3302), Se at (0.2203, 0.0000, 0.6610) and N at (0.2243, 0.5000, 0.1729).

As for the crystal system: monoclinic. As for the energy relative to the lowest polymorph listed for this composition: 0.00 eV/f.u.

---

(2)
Below is an optimized crystal structure of TiVSe2N, with properties calculated at the PBE level.

It has space group P4/mmm (No. 123), with a = 4.9406 Å, b = 4.9406 Å, c = 3.5966 Å, α = 90.00°, β = 90.00° and γ = 90.00°. The asymmetric unit holds Ti at (0.0000, 0.0000, 0.0000), V at (0.5000, 0.5000, 0.5000), Se at (0.0000, 0.5000, 0.5000) and N at (0.5000, 0.5000, 0.0000).

As for the crystal system: tetragonal. As for the energy relative to the lowest polymorph listed for this composition: 0.00 eV/f.u.

---

(3)
Below is an optimized crystal structure of TiVSeN, with properties calculated at the PBE level.

It has space group Pm (No. 6), with a = 3.5460 Å, b = 4.1225 Å, c = 4.9664 Å, α = 90.00°, β = 110.80° and γ = 90.00°. The asymmetric unit holds Ti at (0.0000, 0.0000, 0.0000), V at (0.4555, 0.5000, 0.9110), Se at (0.2981, 0.0000, 0.5943) and N at (0.0232, 0.5000, 0.0472).

As for the crystal system: monoclinic. As for the energy relative to the lowest polymorph listed for this composition: 0.95 eV/f.u.

---

(4)
Below is an optimized crystal structure of TiVSeN, with properties calculated at the PBE level.

It has space group Amm2 (No. 38), with a = 3.3979 Å, b = 3.1833 Å, c = 10.6127 Å, α = 90.00°, β = 90.00° and γ = 90.00°. The asymmetric unit holds Ti at (0.0000, 0.0000, 0.0000), V at (0.5000, 0.0000, 0.3042), Se at (0.5000, 0.0000, 0.6237) and N at (0.0000, 0.0000, 0.3784).

As for the crystal system: orthorhombic. As for the energy relative to the lowest polymorph listed for this composition: 0.49 eV/f.u.

---

(5)
Below is an optimized crystal structure of TiVSeN, with properties calculated at the PBE level.

It has space group Imm2 (No. 44), with a = 3.2082 Å, b = 3.2417 Å, c = 10.4263 Å, α = 90.00°, β = 90.00° and γ = 90.00°. The asymmetric unit holds Ti at (0.0000, 0.0000, 0.0000), V at (0.0000, 0.0000, 0.7107), Se at (0.0000, 0.0000, 0.3494) and N at (0.0000, 0.5000, 0.1083).

As for the crystal system: orthorhombic. As for the energy relative to the lowest polymorph listed for this composition: 0.64 eV/f.u.

---

(6)
Below is an optimized crystal structure of TiVSeN, with properties calculated at the PBE level.

It has space group Pmm2 (No. 25), with a = 3.4669 Å, b = 3.4743 Å, c = 5.4757 Å, α = 90.00°, β = 90.00° and γ = 90.00°. The asymmetric unit holds Ti at (0.0000, 0.0000, 0.0000), V at (0.5000, 0.5000, 0.6793), Se at (0.5000, 0.0000, 0.3457) and N at (0.0000, 0.5000, 0.8336).

As for the crystal system: orthorhombic. As for the energy relative to the lowest polymorph listed for this composition: 0.66 eV/f.u.

---

(7)
Below is an optimized crystal structure of TiVSeN, with properties calculated at the PBE level.

It has space group P3m1 (No. 156), with a = 3.3004 Å, b = 3.3004 Å, c = 6.4451 Å, α = 90.00°, β = 90.00° and γ = 120.00°. The asymmetric unit holds Ti at (0.0000, 0.0000, 0.0000), V at (0.6667, 0.3333, 0.3431), Se at (0.6667, 0.3333, 0.7428) and N at (0.0000, 0.0000, 0.3270).

As for the crystal system: trigonal. As for the energy relative to the lowest polymorph listed for this composition: 0.79 eV/f.u.

---

(8)
Below is an optimized crystal structure of TiVSeN, with properties calculated at the PBE level.

It has space group Pmm2 (No. 25), with a = 2.9607 Å, b = 3.1021 Å, c = 5.6177 Å, α = 90.00°, β = 90.00° and γ = 90.00°. The asymmetric unit holds Ti at (0.0000, 0.0000, 0.0000), V at (0.0000, 0.5000, 0.3831), Se at (0.5000, 0.5000, 0.7495) and N at (0.5000, 0.0000, 0.2678).

As for the crystal system: orthorhombic. As for the energy relative to the lowest polymorph listed for this composition: 0.98 eV/f.u.

---

(9)
Below is an optimized crystal structure of TiVSeN, with properties calculated at the PBE level.

It has space group P3m1 (No. 156), with a = 3.1448 Å, b = 3.1448 Å, c = 6.3064 Å, α = 90.00°, β = 90.00° and γ = 120.00°. The asymmetric unit holds Ti at (0.0000, 0.0000, 0.0000), V at (0.3333, 0.6667, 0.3279), Se at (0.3333, 0.6667, 0.7168) and N at (0.6667, 0.3333, 0.1788).

As for the crystal system: trigonal. As for the energy relative to the lowest polymorph listed for this composition: 0.16 eV/f.u.

---

(10)
Below is an optimized crystal structure of TiWSeN2, with properties calculated at the PBE level.

It has space group P4/mmm (No. 123), with a = 3.8481 Å, b = 3.8481 Å, c = 4.9883 Å, α = 90.00°, β = 90.00° and γ = 90.00°. The asymmetric unit holds Ti at (0.0000, 0.0000, 0.0000), W at (0.5000, 0.5000, 0.5000), Se at (0.0000, 0.0000, 0.5000) and N at (0.0000, 0.5000, 0.0000).

As for the crystal system: tetragonal. As for the energy relative to the lowest polymorph listed for this composition: 3.53 eV/f.u.

---

(11)
Below is an optimized crystal structure of TiWSe2N, with properties calculated at the PBE level.

It has space group P4/mmm (No. 123), with a = 5.0793 Å, b = 5.0793 Å, c = 3.7915 Å, α = 90.00°, β = 90.00° and γ = 90.00°. The asymmetric unit holds Ti at (0.0000, 0.0000, 0.0000), W at (0.5000, 0.5000, 0.5000), Se at (0.0000, 0.5000, 0.5000) and N at (0.5000, 0.5000, 0.0000).

As for the crystal system: tetragonal. As for the energy relative to the lowest polymorph listed for this composition: 0.00 eV/f.u.

---

(12)
Below is an optimized crystal structure of TiWSe2N, with properties calculated at the PBE level.

It has space group P4/mmm (No. 123), with a = 5.0614 Å, b = 5.0614 Å, c = 3.6257 Å, α = 90.00°, β = 90.00° and γ = 90.00°. The asymmetric unit holds Ti at (0.0000, 0.0000, 0.0000), W at (0.5000, 0.5000, 0.5000), Se at (0.0000, 0.5000, 0.0000) and N at (0.0000, 0.0000, 0.5000).

As for the crystal system: tetragonal. As for the energy relative to the lowest polymorph listed for this composition: 2.12 eV/f.u.

---

(13)
Below is an optimized crystal structure of TiWSeN2, with properties calculated at the PBE level.

It has space group P4/mmm (No. 123), with a = 3.8978 Å, b = 3.8978 Å, c = 5.1804 Å, α = 90.00°, β = 90.00° and γ = 90.00°. The asymmetric unit holds Ti at (0.0000, 0.0000, 0.0000), W at (0.5000, 0.5000, 0.5000), Se at (0.5000, 0.5000, 0.0000) and N at (0.0000, 0.5000, 0.5000).

As for the crystal system: tetragonal. As for the energy relative to the lowest polymorph listed for this composition: 0.00 eV/f.u.

---

(14)
Below is an optimized crystal structure of Y2TiSeN, with properties calculated at the PBE level.

It has space group P4/mmm (No. 123), with a = 4.9563 Å, b = 4.9563 Å, c = 3.9410 Å, α = 90.00°, β = 90.00° and γ = 90.00°. The asymmetric unit holds Y at (0.0000, 0.5000, 0.0000), Ti at (0.0000, 0.0000, 0.5000), Se at (0.5000, 0.5000, 0.5000) and N at (0.0000, 0.0000, 0.0000).

As for the crystal system: tetragonal.

---

(15)
Below is an optimized crystal structure of YTiSe2N, with properties calculated at the PBE level.

It has space group P4/mmm (No. 123), with a = 5.0798 Å, b = 5.0798 Å, c = 3.8097 Å, α = 90.00°, β = 90.00° and γ = 90.00°. The asymmetric unit holds Y at (0.0000, 0.0000, 0.0000), Ti at (0.5000, 0.5000, 0.5000), Se at (0.0000, 0.5000, 0.5000) and N at (0.5000, 0.5000, 0.0000).

As for the crystal system: tetragonal. As for the energy relative to the lowest polymorph listed for this composition: 0.00 eV/f.u.

---

(16)
Below is an optimized crystal structure of YTiSe2N, with properties calculated at the PBE level.

It has space group P4/mmm (No. 123), with a = 5.4305 Å, b = 5.4305 Å, c = 4.0423 Å, α = 90.00°, β = 90.00° and γ = 90.00°. The asymmetric unit holds Y at (0.0000, 0.0000, 0.0000), Ti at (0.5000, 0.5000, 0.5000), Se at (0.0000, 0.5000, 0.0000) and N at (0.0000, 0.0000, 0.5000).

As for the crystal system: tetragonal. As for the energy relative to the lowest polymorph listed for this composition: 6.06 eV/f.u.

---

(17)
Below is an optimized crystal structure of TiZnSeN2, with properties calculated at the PBE level.

It has space group P4/mmm (No. 123), with a = 3.7973 Å, b = 3.7973 Å, c = 5.0922 Å, α = 90.00°, β = 90.00° and γ = 90.00°. The asymmetric unit holds Ti at (0.0000, 0.0000, 0.0000), Zn at (0.5000, 0.5000, 0.5000), Se at (0.5000, 0.5000, 0.0000) and N at (0.0000, 0.5000, 0.5000).

As for the crystal system: tetragonal. As for the energy relative to the lowest polymorph listed for this composition: 4.51 eV/f.u.

---

(18)
Below is an optimized crystal structure of TiZnSeN2, with properties calculated at the PBE level.

It has space group P4/mmm (No. 123), with a = 3.8239 Å, b = 3.8239 Å, c = 5.6176 Å, α = 90.00°, β = 90.00° and γ = 90.00°. The asymmetric unit holds Ti at (0.0000, 0.0000, 0.0000), Zn at (0.5000, 0.5000, 0.5000), Se at (0.0000, 0.0000, 0.5000) and N at (0.0000, 0.5000, 0.0000).

As for the crystal system: tetragonal. As for the energy relative to the lowest polymorph listed for this composition: 0.00 eV/f.u.

---

(19)
Below is an optimized crystal structure of ZrTiSeN2, with properties calculated at the PBE level.

It has space group P4/mmm (No. 123), with a = 4.1029 Å, b = 4.1029 Å, c = 5.3890 Å, α = 90.00°, β = 90.00° and γ = 90.00°. The asymmetric unit holds Zr at (0.0000, 0.0000, 0.0000), Ti at (0.5000, 0.5000, 0.5000), Se at (0.0000, 0.0000, 0.5000) and N at (0.0000, 0.5000, 0.0000).

As for the crystal system: tetragonal. As for the energy relative to the lowest polymorph listed for this composition: 2.30 eV/f.u.

---

(20)
Below is an optimized crystal structure of ZrTiSeN2, with properties calculated at the PBE level.

It has space group P4/mmm (No. 123), with a = 3.9285 Å, b = 3.9285 Å, c = 4.9421 Å, α = 90.00°, β = 90.00° and γ = 90.00°. The asymmetric unit holds Zr at (0.0000, 0.0000, 0.0000), Ti at (0.5000, 0.5000, 0.5000), Se at (0.5000, 0.5000, 0.0000) and N at (0.0000, 0.5000, 0.5000).

As for the crystal system: tetragonal. As for the energy relative to the lowest polymorph listed for this composition: 0.00 eV/f.u.

---

(21)
Below is an optimized crystal structure of TlSe2N, with properties calculated at the PBE level.

It has space group R-3m (No. 166, hexagonal axes), with a = 5.0121 Å, b = 5.0121 Å, c = 18.8539 Å, α = 90.00°, β = 90.00° and γ = 120.00°. The asymmetric unit holds Tl at (0.0000, 0.0000, 0.0000), Se at (0.0000, 0.0000, 0.4084) and N at (0.0000, 0.0000, 0.5000).

As for the crystal system: trigonal. As for the energy relative to the lowest polymorph listed for this composition: 0.00 eV/f.u.

---

(22)
Below is an optimized crystal structure of TlSe2N2, with properties calculated at the PBE level.

It has space group P4/mmm (No. 123), with a = 3.8708 Å, b = 3.8708 Å, c = 7.1940 Å, α = 90.00°, β = 90.00° and γ = 90.00°. The asymmetric unit holds Tl at (0.0000, 0.0000, 0.0000), Se at (0.5000, 0.5000, 0.0000), Se at (0.5000, 0.5000, 0.5000) and N at (0.0000, 0.5000, 0.5000).

As for the crystal system: tetragonal. As for the energy relative to the lowest polymorph listed for this composition: 6.94 eV/f.u.

---

(23)
Below is an optimized crystal structure of TlSe2N2, with properties calculated at the PBE level.

It has space group P4/mmm (No. 123), with a = 5.6463 Å, b = 5.6463 Å, c = 4.5365 Å, α = 90.00°, β = 90.00° and γ = 90.00°. The asymmetric unit holds Tl at (0.0000, 0.0000, 0.0000), Se at (0.0000, 0.5000, 0.0000), N at (0.0000, 0.0000, 0.5000) and N at (0.5000, 0.5000, 0.5000).

As for the crystal system: tetragonal. As for the energy relative to the lowest polymorph listed for this composition: 11.51 eV/f.u.

---

(24)
Below is an optimized crystal structure of Tl2SeN2, with properties calculated at the PBE level.

It has space group C2/m (No. 12), with a = 7.5885 Å, b = 4.3963 Å, c = 11.6610 Å, α = 90.00°, β = 105.35° and γ = 90.00°. The asymmetric unit holds Tl at (0.1037, 0.0000, 0.3462), Se at (0.0000, 0.5000, 0.5000) and N at (0.0670, 0.5000, 0.0342).

As for the crystal system: monoclinic.

---

(25)
Below is an optimized crystal structure of Tl4Se3N4, with properties calculated at the PBE level.

It has space group P-1 (No. 2), with a = 6.3327 Å, b = 6.8917 Å, c = 7.3160 Å, α = 99.61°, β = 106.88° and γ = 115.35°. The asymmetric unit holds Tl at (0.0301, 0.1822, 0.3732), Tl at (0.3479, 0.7693, 0.2960), Se at (0.4479, 0.6285, 0.7362), Se at (0.5000, 0.0000, 0.0000), N at (0.2219, 0.9723, 0.4704) and N at (0.2700, 0.3920, 0.2252).

As for the crystal system: triclinic.

---

(26)
Below is an optimized crystal structure of TlSe2N, with properties calculated at the PBE level.

It has space group R-3m (No. 166, hexagonal axes), with a = 3.2647 Å, b = 3.2647 Å, c = 27.5877 Å, α = 90.00°, β = 90.00° and γ = 120.00°. The asymmetric unit holds Tl at (0.0000, 0.0000, 0.0000), Se at (0.0000, 0.0000, 0.1158) and N at (0.0000, 0.0000, 0.5000).

As for the crystal system: trigonal. As for the energy relative to the lowest polymorph listed for this composition: 1.52 eV/f.u.

---

(27)
Below is an optimized crystal structure of TlSe2N2, with properties calculated at the PBE level.

It has space group C2/m (No. 12), with a = 6.3364 Å, b = 6.3453 Å, c = 9.5259 Å, α = 90.00°, β = 101.82° and γ = 90.00°. The asymmetric unit holds Tl at (0.0000, 0.0000, 0.0000), Se at (0.0390, 0.5000, 0.1235) and N at (0.0894, 0.0000, 0.5176).

As for the crystal system: monoclinic. As for the energy relative to the lowest polymorph listed for this composition: 0.00 eV/f.u.

---

(28)
Below is an optimized crystal structure of TlSe2N2, with properties calculated at the PBE level.

It has space group P4/mmm (No. 123), with a = 4.4656 Å, b = 4.4656 Å, c = 4.3200 Å, α = 90.00°, β = 90.00° and γ = 90.00°. The asymmetric unit holds Tl at (0.0000, 0.0000, 0.0000), Se at (0.0000, 0.5000, 0.5000), N at (0.5000, 0.5000, 0.0000) and N at (0.5000, 0.5000, 0.5000).

As for the crystal system: tetragonal. As for the energy relative to the lowest polymorph listed for this composition: 7.81 eV/f.u.

---

E_form (uncorrected)? In order: -1.038; -0.096; -0.801; -0.915; -0.878; -0.874; -0.841; -0.793; -0.999; 0.944; 0.157; 0.581; 0.239; -0.987; -0.967; 0.245; 1.099; 0.198; 0.215; -0.244; 0.594; 1.382; 2.294; -0.207; 0.776; 0.975; -0.007; 1.554 eV per atom.
Total magnetization? In order: 0.00; 0.72; 0.17; 0.00; 0.00; 1.91; 0.44; 0.00; 0.00; 0.00; 2.14; 2.92; 0.06; 0.14; 0.00; 0.00; 0.00; 0.00; 0.27; 0.00; 0.00; 0.00; 7.13; 0.00; 0.00; 0.00; 0.09; 1.91 Bohr magnetons per cell.